Density functional theory data (GGA+U) for crystalline YWI2O at its relaxed geometry.

Results
energy above the most stable polymorph in this dataset = 0 meV/atom
magnetic moment = 1.004 μB per atom
space group = No. 123

a b c (Å): 6.1718 6.1718 4.1699
angles (deg): 90.00 90.00 90.00
With the nearest neighbours (Å) after each atom.
Fractional positions:
1 Y 0.0000 0.0000 0.0000  2 O 2.08
2 W 0.5000 0.5000 0.5000  8 I 3.72, 2 W 4.17
3 I 0.0000 0.5000 0.0000  2 Y 3.09
4 I 0.5000 0.0000 0.0000  2 Y 3.09
5 O 0.0000 0.0000 0.5000  2 Y 2.08